Record 1
First-principles (PBE) data for an optimized crystal structure of Na2CdIrPb, as listed in the Alexandria database.

Cell and atoms, written as CIF:
```
data_Na2CdIrPb
_chemical_formula_sum 'Na2 Cd1 Ir1 Pb1'
_symmetry_space_group_name_H-M 'P 4/m m m'
_symmetry_Int_Tables_number 123
_symmetry_space_group_name_Hall '-P 4 2'
_cell_length_a 5.161
_cell_length_b 5.161
_cell_length_c 5.563
_cell_angle_alpha 90.00
_cell_angle_beta 90.00
_cell_angle_gamma 90.00
loop_
_atom_site_label
_atom_site_fract_x
_atom_site_fract_y
_atom_site_fract_z
Na1 0.000 0.500 0.000
Cd1 0.000 0.000 0.000
Ir1 0.500 0.500 0.500
Pb1 0.000 0.000 0.500
```

- E_tot: -2.126 eV/atom
- E_form: 106.0 kJ per mole of atoms
- Volume: 148.16 Å³/cell
- D(E_F): 0.93 states/eV per atom


Record 2
First-principles (PBE) data for an optimized crystal structure of TeOsI, as listed in the Alexandria database.

Cell and atoms, written as CIF:
```
data_TeOsI
_chemical_formula_sum 'Te4 Os4 I4'
_symmetry_space_group_name_H-M 'P 42/m'
_symmetry_Int_Tables_number 84
_symmetry_space_group_name_Hall '-P 4c'
_cell_length_a 8.730
_cell_length_b 8.730
_cell_length_c 4.157
_cell_angle_alpha 90.00
_cell_angle_beta 90.00
_cell_angle_gamma 90.00
loop_
_atom_site_label
_atom_site_fract_x
_atom_site_fract_y
_atom_site_fract_z
Te1 0.037 0.724 0.000
Os1 0.221 0.745 0.500
I1 0.272 0.428 0.500
```

- E_form (uncorrected): 99 kJ/mol of formula units
- E_tot: -4.965 eV/atom
- Volume: 316.82 Å³/cell
- D(E_F): 0.40 states/eV per atom


Question: Look up the volume of the first one.
Answer: 148.16 Å³/cell